Compound: KZrHg2
Source: Alexandria
Functional: GGA-PBE
Structure: optimized geometry

Geometry as POSCAR:
```
KZrHg2
1.0
-2.058 -1.337 -2.460
-0.791 -2.757 2.161
-7.455 1.649 5.343
Hg K Zr
2 1 1
direct
0.000 0.049 0.952
0.000 0.451 0.548
0.500 0.250 0.250
0.500 0.750 0.750
```

Properties
Total moment ... 0.00 μB per formula unit
Formation enthalpy at 0 K ... -44 meV per atom
DFT total energy ... -2.606 eV/atom
Space group ... Pmmm (47)
E above lowest polymorph ... 0 meV/atom

Compound: Sm8Sb3Te4S
Source: Alexandria
Functional: GGA-PBE
Structure: optimized geometry

Geometry as POSCAR:
```
Sm8Sb3Te4S
1.0
-5.327 -4.050 -5.694
6.951 -4.252 -3.478
-1.566 -0.541 8.628
Sm Sb Te S
8 3 4 1
direct
0.234 0.728 0.994
0.234 0.728 0.468
0.253 0.260 0.506
0.760 0.728 0.994
0.240 0.272 0.006
0.747 0.740 0.494
0.766 0.272 0.532
0.766 0.272 0.006
0.500 0.500 0.000
0.500 0.500 0.500
0.000 0.500 0.500
0.500 0.000 0.000
0.500 0.000 0.500
0.000 0.000 0.000
0.000 0.000 0.500
0.000 0.500 0.000
```

Properties
Total moment ... 0.00 μB per formula unit
DFT total energy ... -5.577 eV/atom
Space group ... R-3m (166)
Formation energy (no corrections) ... -2163 kJ/mol of formula units

Compound: PuMnHg2
Source: Alexandria
Functional: GGA-PBE
Structure: optimized geometry

Geometry as POSCAR:
```
PuMnHg2
1.0
3.344 0.000 0.000
0.000 3.344 0.000
0.000 0.000 7.843
Mn Hg Pu
1 2 1
direct
0.500 0.500 0.000
0.000 0.000 0.789
0.000 0.000 0.211
0.500 0.500 0.500
```

Properties
Total moment ... 9.85 μB per formula unit
Formation enthalpy at 0 K ... 97 meV per atom
DFT total energy ... -5.929 eV/atom
Space group ... P4/mmm (123)

Compound: Mg2CuRh
Source: Alexandria
Functional: GGA-PBE
Structure: optimized geometry

Geometry as POSCAR:
```
Mg2CuRh
1.0
-4.051 -2.597 5.018
4.887 -4.711 1.507
1.537 -1.916 5.066
Mg Rh Cu
4 2 2
direct
0.617 0.125 0.250
0.133 0.625 0.250
0.375 0.383 0.750
0.875 0.867 0.750
0.000 0.000 0.000
0.750 0.250 0.500
0.500 0.500 0.000
0.250 0.750 0.500
```

Properties
Total moment ... 0.00 μB per formula unit
Formation enthalpy at 0 K ... 18 meV per atom
DFT total energy ... -3.641 eV/atom
Space group ... I-42d (122)